one:
Density functional theory data (GGA+U) for a relaxed structure of MoAsBr2O.

Structure (POSCAR):
```
MoAsBr2O
1.0
4.857 0.000 0.000
0.000 4.857 0.000
0.000 0.000 4.393
Mo As Br O
1 1 2 1
direct
0.000 0.000 0.000 Mo
0.500 0.500 0.000 As
0.000 0.500 0.500 Br
0.500 0.000 0.500 Br
0.500 0.500 0.500 O
```

Computed properties:
- N(E_F): 2.1 states/eV per cell
- Space-group type: No. 123

=====

two:
Density functional theory data (GGA+U) for a relaxed structure of MoAsBr2O.

Structure (POSCAR):
```
MoAsBr2O
1.0
5.001 0.000 0.000
0.000 5.001 0.000
0.000 0.000 4.943
Mo As Br O
1 1 2 1
direct
0.000 0.000 0.000 Mo
0.000 0.000 0.500 As
0.000 0.500 0.000 Br
0.500 0.000 0.000 Br
0.500 0.500 0.500 O
```

Computed properties:
- N(E_F): 12.6 states/eV per cell
- Space-group type: No. 123

=====

Question: of the structures shown, which is the most stable? Reply: one.